Er2Tm6Se3 | PBE | relaxed

Results
The uncorrected formation energy is -0.845 eV/atom.

Geometry as CIF:
```
data_Er2Tm6Se3
_cell_length_a 3.7363
_cell_length_b 3.7363
_cell_length_c 74.6349
_cell_angle_alpha 90.00
_cell_angle_beta 90.00
_cell_angle_gamma 120.00
_space_group_name_H-M_alt 'R -3 m'
_space_group_IT_number 166
_space_group_name_Hall '-R 3 2"'
loop_
_atom_site_label
_atom_site_fract_x
_atom_site_fract_y
_atom_site_fract_z
_atom_site_occupancy
Er1 0.0000 0.0000 0.0558 1
Tm1 0.0000 0.0000 0.1422 1
Tm2 0.0000 0.0000 0.3150 1
Tm3 0.0000 0.0000 0.4260 1
Se1 0.0000 0.0000 0.2150 1
Se2 0.0000 0.0000 0.5000 1
```

=====

Y3Tm2Cd2 | PBE | relaxed

Results
As for the formation energy: -0.068 eV per atom. The excess energy over the best structure of this formula in the dataset is 7.83 kJ/mol of atoms.

Geometry as CIF:
```
data_Y3Tm2Cd2
_cell_length_a 5.062
_cell_length_b 22.593
_cell_length_c 3.466
_cell_angle_alpha 90.00
_cell_angle_beta 90.00
_cell_angle_gamma 90.00
_space_group_name_H-M_alt 'C m m m'
_space_group_IT_number 65
_space_group_name_Hall '-C 2 2'
loop_
_atom_site_label
_atom_site_fract_x
_atom_site_fract_y
_atom_site_fract_z
_atom_site_occupancy
Y1 0.000 0.000 0.000 1
Y2 0.000 0.148 0.000 1
Tm1 0.000 0.289 0.500 1
Cd1 0.000 0.431 0.500 1
```

=====

SrTcRu2 | PBE | relaxed

Results
As for the formation energy: 0.621 eV per atom. The excess energy over the best structure of this formula in the dataset is 13.91 kJ/mol of atoms.

Geometry as CIF:
```
data_SrTcRu2
_cell_length_a 4.282
_cell_length_b 2.935
_cell_length_c 12.313
_cell_angle_alpha 90.00
_cell_angle_beta 90.00
_cell_angle_gamma 90.00
_space_group_name_H-M_alt 'A m m 2'
_space_group_IT_number 38
loop_
_space_group_symop_operation_xyz
'x,y,z'
'-x,-y,z'
'-x,y,z'
'x,-y,z'
'x,y+1/2,z+1/2'
'-x,-y+1/2,z+1/2'
'-x,y+1/2,z+1/2'
'x,-y+1/2,z+1/2'
loop_
_atom_site_label
_atom_site_fract_x
_atom_site_fract_y
_atom_site_fract_z
_atom_site_occupancy
Sr1 0.000 0.000 0.000 1
Tc1 0.500 0.000 0.663 1
Ru1 0.000 0.000 0.751 1
Ru2 0.500 0.000 0.338 1
```

=====

V2ZnCl8 | PBE | relaxed

Results
The uncorrected formation energy is -1.081 eV/atom.

Geometry as CIF:
```
data_V2ZnCl8
_cell_length_a 12.760
_cell_length_b 8.988
_cell_length_c 6.237
_cell_angle_alpha 90.00
_cell_angle_beta 93.70
_cell_angle_gamma 90.00
_space_group_name_H-M_alt 'C 1 2/m 1'
_space_group_IT_number 12
loop_
_space_group_symop_operation_xyz
'x,y,z'
'-x,-y,-z'
'-x,y,-z'
'x,-y,z'
'x+1/2,y+1/2,z'
'-x+1/2,-y+1/2,-z'
'-x+1/2,y+1/2,-z'
'x+1/2,-y+1/2,z'
loop_
_atom_site_label
_atom_site_fract_x
_atom_site_fract_y
_atom_site_fract_z
_atom_site_occupancy
V1 0.185 0.000 0.140 1
Zn1 0.000 0.000 0.500 1
Cl1 0.091 0.184 0.291 1
Cl2 0.150 0.500 0.754 1
Cl3 0.168 0.000 0.781 1
```

=====

TlCo2PtBr | PBE | relaxed

Results
The uncorrected formation energy is 1.804 eV/atom.

Geometry as CIF:
```
data_TlCo2PtBr
_cell_length_a 4.837
_cell_length_b 4.837
_cell_length_c 5.634
_cell_angle_alpha 90.00
_cell_angle_beta 90.00
_cell_angle_gamma 90.00
_space_group_name_H-M_alt 'P 4/m m m'
_space_group_IT_number 123
_space_group_name_Hall '-P 4 2'
loop_
_atom_site_label
_atom_site_fract_x
_atom_site_fract_y
_atom_site_fract_z
_atom_site_occupancy
Tl1 0.000 0.000 0.000 1
Co1 0.000 0.500 0.000 1
Pt1 0.500 0.500 0.500 1
Br1 0.000 0.000 0.500 1
```

=====

NdLuPuTh | PBE | relaxed

Results
As for the formation energy: 0.208 eV per atom.

Geometry as CIF:
```
data_NdLuPuTh
_cell_length_a 7.909
_cell_length_b 7.909
_cell_length_c 7.909
_cell_angle_alpha 90.00
_cell_angle_beta 90.00
_cell_angle_gamma 90.00
_space_group_name_H-M_alt 'F -4 3 m'
_space_group_IT_number 216
_space_group_name_Hall 'F -4 2 3'
loop_
_atom_site_label
_atom_site_fract_x
_atom_site_fract_y
_atom_site_fract_z
_atom_site_occupancy
Nd1 0.000 0.000 0.000 1
Lu1 0.250 0.250 0.750 1
Pu1 0.250 0.250 0.250 1
Th1 0.000 0.000 0.500 1
```

=====

NdDy2ErSb4 | PBE | relaxed

Results
The uncorrected formation energy is -1.130 eV/atom.

Geometry as CIF:
```
data_NdDy2ErSb4
_cell_length_a 7.641
_cell_length_b 4.416
_cell_length_c 7.644
_cell_angle_alpha 90.00
_cell_angle_beta 109.49
_cell_angle_gamma 90.00
_space_group_name_H-M_alt 'P 1 2/m 1'
_space_group_IT_number 10
loop_
_space_group_symop_operation_xyz
'x,y,z'
'-x,-y,-z'
'-x,y,-z'
'x,-y,z'
loop_
_atom_site_label
_atom_site_fract_x
_atom_site_fract_y
_atom_site_fract_z
_atom_site_occupancy
Nd1 0.000 0.000 0.000 1
Dy1 0.000 0.500 0.500 1
Dy2 0.500 0.000 0.500 1
Er1 0.500 0.500 0.000 1
Sb1 0.254 0.000 0.748 1
Sb2 0.257 0.500 0.255 1
```

=====

SrY2MgIr | PBE | relaxed

Results
As for the formation energy: -0.300 eV per atom.

Geometry as CIF:
```
data_SrY2MgIr
_cell_length_a 5.420
_cell_length_b 5.420
_cell_length_c 5.350
_cell_angle_alpha 90.00
_cell_angle_beta 90.00
_cell_angle_gamma 90.00
_space_group_name_H-M_alt 'P 4/m m m'
_space_group_IT_number 123
_space_group_name_Hall '-P 4 2'
loop_
_atom_site_label
_atom_site_fract_x
_atom_site_fract_y
_atom_site_fract_z
_atom_site_occupancy
Sr1 0.000 0.000 0.000 1
Y1 0.000 0.500 0.500 1
Mg1 0.500 0.500 0.000 1
Ir1 0.500 0.500 0.500 1
```

=====

P3PdN | PBE | relaxed

Results
The excess energy over the best structure of this formula in the dataset is 0.00 kJ/mol of atoms. The uncorrected formation energy is 0.739 eV/atom.

Geometry as CIF:
```
data_P3PdN
_cell_length_a 4.053
_cell_length_b 4.053
_cell_length_c 4.053
_cell_angle_alpha 90.00
_cell_angle_beta 90.00
_cell_angle_gamma 90.00
_space_group_name_H-M_alt 'P m -3 m'
_space_group_IT_number 221
_space_group_name_Hall '-P 4 2 3'
loop_
_atom_site_label
_atom_site_fract_x
_atom_site_fract_y
_atom_site_fract_z
_atom_site_occupancy
P1 0.000 0.000 0.500 1
Pd1 0.500 0.500 0.500 1
N1 0.000 0.000 0.000 1
```

=====

AcPdS | PBE | relaxed

Results
The excess energy over the best structure of this formula in the dataset is 7.51 kJ/mol of atoms. The uncorrected formation energy is -1.161 eV/atom.

Geometry as CIF:
```
data_AcPdS
_cell_length_a 9.523
_cell_length_b 4.069
_cell_length_c 7.718
_cell_angle_alpha 90.00
_cell_angle_beta 90.00
_cell_angle_gamma 90.00
_space_group_name_H-M_alt 'P n m a'
_space_group_IT_number 62
loop_
_space_group_symop_operation_xyz
'x,y,z'
'-x,-y,-z'
'-x+1/2,-y,z+1/2'
'x+1/2,y,-z+1/2'
'x+1/2,-y+1/2,-z+1/2'
'-x+1/2,y+1/2,z+1/2'
'-x,y+1/2,-z'
'x,-y+1/2,z'
loop_
_atom_site_label
_atom_site_fract_x
_atom_site_fract_y
_atom_site_fract_z
_atom_site_occupancy
Ac1 0.209 0.250 0.044 1
Pd1 0.017 0.250 0.630 1
S1 0.079 0.750 0.818 1
```

=====

Li2Ac3Au3 | PBE | relaxed

Results
As for the formation energy: -0.568 eV per atom. The excess energy over the best structure of this formula in the dataset is 6.04 kJ/mol of atoms.

Geometry as CIF:
```
data_Li2Ac3Au3
_cell_length_a 9.2908
_cell_length_b 9.2908
_cell_length_c 6.1767
_cell_angle_alpha 90.00
_cell_angle_beta 90.00
_cell_angle_gamma 120.00
_space_group_name_H-M_alt 'P 63/m c m'
_space_group_IT_number 193
_space_group_name_Hall '-P 6c 2'
loop_
_atom_site_label
_atom_site_fract_x
_atom_site_fract_y
_atom_site_fract_z
_atom_site_occupancy
Li1 0.3333 0.6667 0.0000 1
Ac1 0.0000 0.2782 0.2500 1
Au1 0.0000 0.3866 0.7500 1
```

=====

Which ρ belongs to each record? In order, 8.75 6.95 8.32 2.10 7.52 10.68 7.67 5.09 5.32 8.12 9.25 g cm⁻³.
Which magnetization belongs to each record? In order, 0.000 0.000 0.000 0.364 0.773 1.938 0.000 0.000 0.000 0.000 0.000 μB/atom.